No. 1
KLaRh3: relaxed, PBE.

Geometry as extended XYZ:
```
5
Lattice="5.0719 0.0000 0.0000 0.0000 5.0719 0.0000 0.0000 0.0000 5.0719" Properties=species:S:1:pos:R:3 pbc="T T T"
K 2.5360 2.5360 2.5360
Rh 0.0000 2.5360 0.0000
Rh 0.0000 0.0000 2.5360
Rh 2.5360 0.0000 0.0000
La 0.0000 0.0000 0.0000
```

Results
Total energy, eV/atom: -4.90
Space group: Pm-3m
E_form, eV per atom: 0.7123

No. 2
K2LaRh: relaxed, PBE.

Geometry as extended XYZ:
```
4
Lattice="-0.6626 6.5604 0.8120 -3.5493 -0.0287 -2.6646 -3.0009 -0.6971 3.1838" Properties=species:S:1:pos:R:3 pbc="T T T"
K -6.3687 -0.7057 0.5048
K -3.4566 -0.3830 0.2741
La -1.9688 3.0988 0.5358
Rh -5.2440 2.7359 0.7954
```

Results
Total energy, eV/atom: -3.28
Space group: Cmmm
E_form, eV per atom: 0.3335

No. 3
KLaRh4: relaxed, PBE.

Geometry as extended XYZ:
```
6
Lattice="0.0000 3.8564 3.8564 3.8564 0.0000 3.8564 3.8564 3.8564 0.0000" Properties=species:S:1:pos:R:3 pbc="T T T"
K 5.7846 5.7846 5.7846
La 0.0000 0.0000 0.0000
Rh 2.8909 4.8219 4.8219
Rh 4.8219 4.8219 2.8909
Rh 4.8219 2.8909 4.8219
Rh 2.8909 2.8909 2.8909
```

Results
Total energy, eV/atom: -6.03
Space group: F-43m
E_form, eV per atom: -0.1280

No. 4
K2LaRh: relaxed, PBE.

Geometry as extended XYZ:
```
4
Lattice="-4.0257 1.3841 6.6072 1.9303 -3.4367 6.8000 1.6542 4.7516 -6.0384" Properties=species:S:1:pos:R:3 pbc="T T T"
K -0.1578 -0.1546 1.0099
K -1.6809 2.5828 3.4525
La -0.8458 -0.8286 5.4120
Rh 1.1957 0.0730 4.1979
```

Results
Total energy, eV/atom: -3.56
Space group: Imm2
E_form, eV per atom: 0.0577

No. 5
K2LaRh: relaxed, PBE.

Geometry as extended XYZ:
```
4
Lattice="7.2191 -0.0183 0.0000 4.5920 5.5704 0.0000 -5.9056 -2.7761 3.0877" Properties=species:S:1:pos:R:3 pbc="T T T"
K 0.0000 0.0000 0.0000
K 5.9056 2.7761 0.0000
La 2.2960 2.7852 1.5438
Rh 3.6096 -0.0091 1.5438
```

Results
Total energy, eV/atom: -3.32
Space group: I4/mmm
E_form, eV per atom: 0.3028

No. 6
K2LaRh: relaxed, PBE.

Geometry as extended XYZ:
```
4
Lattice="3.9140 0.0312 0.0000 -0.0301 3.9140 0.0000 0.0000 0.0000 10.9462" Properties=species:S:1:pos:R:3 pbc="T T T"
K 0.0000 0.0000 10.2378
K 1.9419 1.9726 3.2953
La 0.0000 0.0000 6.6538
Rh 1.9419 1.9726 7.1787
```

Results
Total energy, eV/atom: -3.72
Space group: P4mm
E_form, eV per atom: -0.0987

No. 7
K2LaRh: relaxed, PBE.

Geometry as extended XYZ:
```
4
Lattice="-0.2242 1.7724 -2.7737 0.9879 -2.6157 -1.7514 -11.8612 -3.5871 -1.3333" Properties=species:S:1:pos:R:3 pbc="T T T"
K -11.0656 -3.3465 -1.2439
K -6.7263 -2.0342 -0.7561
La -2.5835 -1.3184 -2.5959
Rh -8.5141 -3.1120 -3.2625
```

Results
Total energy, eV/atom: -2.89
Space group: P4/mmm
E_form, eV per atom: 0.7237

No. 8
K2LaRh: relaxed, PBE.

Geometry as extended XYZ:
```
4
Lattice="4.6235 -0.0525 -0.0196 2.4759 3.9050 -0.0196 2.1059 1.1428 9.9991" Properties=species:S:1:pos:R:3 pbc="T T T"
K 2.2459 1.2187 9.3091
K 2.2504 1.2212 3.1842
La 4.5368 2.4619 6.2300
Rh 6.8809 3.7339 6.2156
```

Results
Total energy, eV/atom: -3.68
Space group: Cm
E_form, eV per atom: -0.0566

No. 9
K2LaRh: relaxed, PBE.

Geometry as extended XYZ:
```
4
Lattice="4.3774 0.0000 0.0000 0.0000 4.3774 0.0000 0.0000 0.0000 6.5028" Properties=species:S:1:pos:R:3 pbc="T T T"
K 0.0000 0.0000 0.0000
K 2.1887 2.1887 0.0000
La 2.1887 0.0000 3.2514
Rh 0.0000 2.1887 3.2514
```

Results
Total energy, eV/atom: -3.33
Space group: P4/mmm
E_form, eV per atom: 0.2913

No. 10
K2LaRh: relaxed, PBE.

Geometry as extended XYZ:
```
4
Lattice="3.3349 0.0313 0.0000 -1.3386 3.0546 0.0000 0.0000 0.0000 12.6550" Properties=species:S:1:pos:R:3 pbc="T T T"
K 0.0000 0.0000 11.9425
K 0.0000 0.0000 7.0399
La 0.9981 1.5429 3.1637
Rh 0.9981 1.5429 9.4912
```

Results
Total energy, eV/atom: -2.89
Space group: Cmmm
E_form, eV per atom: 0.7293

No. 11
K2LaRh: relaxed, PBE.

Geometry as extended XYZ:
```
4
Lattice="-10.8227 -1.3062 2.1337 -10.5043 -3.4692 -1.0072 0.0915 -3.3975 2.3490" Properties=species:S:1:pos:R:3 pbc="T T T"
K -19.3361 -4.6544 1.2450
K -12.6086 -4.2075 1.6192
La -15.9266 -6.1296 2.6066
Rh -5.3089 -2.0432 0.8689
```

Results
Total energy, eV/atom: -3.73
Space group: C2/m
E_form, eV per atom: -0.1115

No. 12
KLaRuRh2: relaxed, PBE.

Geometry as extended XYZ:
```
5
Lattice="4.6261 0.0000 0.0000 0.0000 5.2648 0.0000 0.0000 0.0000 4.6261" Properties=species:S:1:pos:R:3 pbc="T T T"
Ru 2.3131 2.6324 2.3131
K 0.0000 0.0000 0.0000
Rh 0.0000 0.0000 2.3131
Rh 2.3131 0.0000 0.0000
La 0.0000 2.6324 0.0000
```

Results
Total energy, eV/atom: -4.14
Space group: P4/mmm
E_form, eV per atom: 1.8643

No. 13
K2LaRhSe: relaxed, PBE.

Geometry as extended XYZ:
```
5
Lattice="6.0295 0.0000 0.0000 0.0000 4.7211 0.0000 0.0000 0.0000 6.0295" Properties=species:S:1:pos:R:3 pbc="T T T"
K 0.0000 0.0000 3.0148
K 3.0148 0.0000 0.0000
Rh 0.0000 0.0000 0.0000
Se 0.0000 2.3605 0.0000
La 3.0148 2.3605 3.0148
```

Results
Total energy, eV/atom: -3.32
Space group: P4/mmm

No. 14
KLaSiRh2: relaxed, PBE.

Geometry as extended XYZ:
```
5
Lattice="-1.0294 1.7033 -4.3947 0.3489 -4.8174 -1.9489 -4.7021 -0.6796 0.8381" Properties=species:S:1:pos:R:3 pbc="T T T"
K 0.0000 0.0000 0.0000
Rh -2.3511 -0.3398 0.4190
Rh -0.5147 0.8517 -2.1973
Si 0.1744 -2.4087 -0.9744
La -2.6913 -1.8968 -2.7527
```

Results
Total energy, eV/atom: -4.00
Space group: P4/mmm

No. 15
KSr2LaRh: relaxed, PBE.

Geometry as extended XYZ:
```
5
Lattice="-2.3779 -2.3833 5.3020 0.5144 -5.7922 -2.3730 5.0214 -0.4026 2.0711" Properties=species:S:1:pos:R:3 pbc="T T T"
Sr 0.2572 -2.8961 -1.1865
Sr -1.1889 -1.1917 2.6510
K 1.5790 -4.2891 2.5000
Rh 0.0000 0.0000 0.0000
La 2.5107 -0.2013 1.0356
```

Results
Total energy, eV/atom: -3.52
Space group: P4/mmm
E_form, eV per atom: -0.1736

No. 16
KLaTc2Rh: relaxed, PBE.

Geometry as extended XYZ:
```
5
Lattice="-0.8143 -3.3674 3.2389 4.6593 0.4761 1.6663 -1.4389 3.3086 3.0781" Properties=species:S:1:pos:R:3 pbc="T T T"
K 0.0000 0.0000 0.0000
Rh 2.3296 0.2380 0.8332
Tc -0.7195 1.6543 1.5391
Tc -0.4071 -1.6837 1.6194
La 1.2031 0.2087 3.9917
```

Results
Total energy, eV/atom: -4.75
Space group: P4/mmm
E_form, eV per atom: 2.0678

No. 17
KLa2Ru: relaxed, PBE.

Geometry as extended XYZ:
```
4
Lattice="-4.9570 1.9527 0.4660 -4.1380 -2.6886 -2.0618 -3.5205 -2.3869 3.2420" Properties=species:S:1:pos:R:3 pbc="T T T"
K -6.3078 -1.5614 0.8231
La 0.0000 0.0000 0.0000
La -3.1539 -0.7807 0.4116
Ru -9.4617 -2.3421 1.2347
```

Results
Total energy, eV/atom: -4.38
Space group: F-43m
E_form, eV per atom: 0.6756

No. 18
KLa2Ru: relaxed, PBE.

Geometry as extended XYZ:
```
4
Lattice="-2.2951 2.7459 -1.9625 -2.9673 -0.5089 2.7581 3.9643 7.3280 5.6171" Properties=species:S:1:pos:R:3 pbc="T T T"
K 0.3273 6.5872 4.5897
La 0.3317 0.6132 0.4700
La -1.2450 3.6808 2.3618
Ru 1.2701 2.3478 1.7997
```

Results
Total energy, eV/atom: -4.99
Space group: P4mm
E_form, eV per atom: 0.0636

No. 19
KLa3Ru: relaxed, PBE.

Geometry as extended XYZ:
```
5
Lattice="5.7332 0.0000 0.0000 0.0000 5.7332 0.0000 0.0000 0.0000 5.7332" Properties=species:S:1:pos:R:3 pbc="T T T"
Ru 0.0000 0.0000 0.0000
K 2.8666 2.8666 2.8666
La 0.0000 2.8666 0.0000
La 0.0000 0.0000 2.8666
La 2.8666 0.0000 0.0000
```

Results
Total energy, eV/atom: -5.05
Space group: Pm-3m
E_form, eV per atom: -0.0156

No. 20
KLa2Ru: relaxed, PBE.

Geometry as extended XYZ:
```
4
Lattice="-4.7084 -4.2999 0.3843 0.5303 -5.7244 -2.7850 3.3636 3.8515 3.8287" Properties=species:S:1:pos:R:3 pbc="T T T"
K -1.7170 -2.7303 1.5063
La 0.0000 0.0000 0.0000
La 0.9024 -3.4425 -0.0784
Ru -2.0891 -5.0121 -1.2004
```

Results
Total energy, eV/atom: -4.47
Space group: I-4m2
E_form, eV per atom: 0.5863